VASP calculation (PBE) on a geometry-optimized TmZrNiOs structure.

Unit cell a=4.6706 b=4.6706 c=4.6706 alpha=60.00 beta=60.00 gamma=60.00
Last column: nearest neighbours and their distance in Å.
Element x y z (fractional)
Tm 0.0000 0.0000 0.0000  4 Os 2.86, 4 Ni 2.86
Zr 0.5000 0.5000 0.5000  4 Ni 2.86, 4 Os 2.86
Ni 0.2500 0.2500 0.2500  4 Zr 2.86, 4 Tm 2.86
Os 0.7500 0.7500 0.7500  4 Zr 2.86, 4 Tm 2.86

Theoretical density = 11.73 g/cm³
DFT total energy = -7.923 eV per atom
ΔH_f (0 K) = -0.416 eV per atom